{"formula": "CaHg2Mo", "functional": "PBE", "state": "optimized geometry", "e_above_lowest_polymorph_ev_per_fu": 0.499, "e_form_ev_per_atom": 0.39, "e_tot_ev_per_atom": -2.969, "space_group": "Imm2 (44)", "magmom_total_mub_per_cell": 2.28, "cell": [[-1.4069, -5.3943, 1.8889], [2.8289, -4.5749, -2.3904], [0.7738, 5.0631, 2.9004]], "species": ["Hg", "Hg", "Mo", "Ca"], "fractional_positions": [[0.9876, 0.9876, 0.0000], [0.7421, 0.2421, 0.5000], [0.5159, 0.5159, 0.0000], [0.2544, 0.7544, 0.5000]]}

{"formula": "CaHg2Mo", "functional": "PBE", "state": "optimized geometry", "e_above_lowest_polymorph_ev_per_fu": 0.987, "e_form_ev_per_atom": 0.51, "e_tot_ev_per_atom": -2.847, "space_group": "F-43m (216)", "magmom_total_mub_per_cell": 3.94, "cell": [[-5.0319, -0.3206, -0.4170], [-2.8180, -0.9991, 4.0814], [-2.9381, 3.6062, 1.9900]], "species": ["Mo", "Hg", "Hg", "Ca"], "fractional_positions": [[0.7500, 0.7500, 0.7500], [0.0000, 0.0000, 0.0000], [0.2500, 0.2500, 0.2500], [0.5000, 0.5000, 0.5000]]}

{"formula": "CaHgMo3", "functional": "PBE", "state": "optimized geometry", "e_above_lowest_polymorph_ev_per_fu": 0.000, "e_form_ev_per_atom": 2.18, "e_tot_ev_per_atom": -4.776, "space_group": "Pm-3m (221)", "magmom_total_mub_per_cell": 0.00, "cell": [[-1.6514, -0.8269, 4.6891], [-1.3173, -4.6900, -1.2910], [4.5756, -1.6487, 1.3207]], "species": ["Mo", "Mo", "Mo", "Hg", "Ca"], "fractional_positions": [[0.0000, 0.5000, 0.0000], [0.5000, 0.0000, 0.0000], [0.0000, 0.0000, 0.5000], [0.0000, 0.0000, 0.0000], [0.5000, 0.5000, 0.5000]]}

{"formula": "CaHg2Mo", "functional": "PBE", "state": "optimized geometry", "e_above_lowest_polymorph_ev_per_fu": 0.176, "e_form_ev_per_atom": 0.31, "e_tot_ev_per_atom": -3.049, "space_group": "Fm-3m (225)", "magmom_total_mub_per_cell": 2.63, "cell": [[0.0000, 3.5566, 3.5566], [3.5566, 0.0000, 3.5566], [3.5566, 3.5566, 0.0000]], "species": ["Ca", "Mo", "Hg", "Hg"], "fractional_positions": [[0.0000, 0.0000, 0.0000], [0.5000, 0.5000, 0.5000], [0.2500, 0.2500, 0.2500], [0.7500, 0.7500, 0.7500]]}

{"formula": "CaHg2Mo", "functional": "PBE", "state": "optimized geometry", "e_above_lowest_polymorph_ev_per_fu": 0.046, "e_form_ev_per_atom": 0.28, "e_tot_ev_per_atom": -3.082, "space_group": "Cmmm (65)", "magmom_total_mub_per_cell": 0.00, "cell": [[5.2043, 0.0148, 0.0000], [-1.0375, 5.0998, 0.0000], [0.0000, 0.0000, 3.1548]], "species": ["Ca", "Hg", "Hg", "Mo"], "fractional_positions": [[0.0000, 0.5000, 0.5000], [0.5000, 0.5000, 0.0000], [0.0000, 0.0000, 0.0000], [0.5000, 0.0000, 0.5000]]}

{"formula": "Ca2HgMo", "functional": "PBE", "state": "optimized geometry", "e_form_ev_per_atom": 0.58, "e_tot_ev_per_atom": -3.202, "space_group": "P2/m (10)", "magmom_total_mub_per_cell": 0.00, "cell": [[-2.7331, -1.4333, 0.9087], [3.0679, -4.0002, 2.9175], [1.8727, 0.3052, 6.1138]], "species": ["Mo", "Ca", "Ca", "Hg"], "fractional_positions": [[0.0000, 0.0000, 0.5000], [0.0000, 0.0000, 0.0000], [0.5000, 0.5000, 0.0000], [0.5000, 0.5000, 0.5000]]}